[1]
## TlCoNi2N (PBE)

Data for a relaxed structure of TlCoNi2N.

abc: 3.9474 3.9474 3.8208
angles: 90.00 90.00 90.00
Fractional coordinates of all 5 atoms:
N  0.0000  0.0000  0.0000
Tl  0.5000  0.5000  0.5000
Co  0.0000  0.0000  0.5000
Ni  0.0000  0.5000  0.0000
Ni  0.5000  0.0000  0.0000

Computed properties:
Its crystal system is tetragonal. As for the spin magnetization: 0.25 μB per atom.

[2]
## VCo2NiN (PBE)

Data for a relaxed structure of VCo2NiN.

abc: 4.3477 3.6241 4.3477
angles: 90.00 90.00 90.00
Fractional coordinates of all 5 atoms:
Co  0.0000  0.0000  0.5000
V  0.0000  0.0000  0.0000
N  0.0000  0.5000  0.0000
Ni  0.5000  0.5000  0.5000
Co  0.5000  0.0000  0.0000

Computed properties:
Its crystal system is tetragonal. As for the spin magnetization: 0.51 μB per atom.

[3]
## VCo2NiN (PBE)

Data for a relaxed structure of VCo2NiN.

abc: 3.7051 3.7051 3.8554
angles: 90.00 90.00 90.00
Fractional coordinates of all 5 atoms:
Co  0.5000  0.0000  0.0000
Co  0.0000  0.5000  0.0000
Ni  0.5000  0.5000  0.5000
V  0.0000  0.0000  0.5000
N  0.0000  0.0000  0.0000

Computed properties:
Its crystal system is tetragonal. As for the spin magnetization: 0.31 μB per atom.

[4]
## Co2NiWN (PBE)

Data for a relaxed structure of Co2NiWN.

abc: 3.7302 3.7302 4.0213
angles: 90.00 90.00 90.00
Fractional coordinates of all 5 atoms:
N  0.0000  0.0000  0.0000
W  0.0000  0.0000  0.5000
Ni  0.5000  0.5000  0.5000
Co  0.5000  0.0000  0.0000
Co  0.0000  0.5000  0.0000

Computed properties:
Its crystal system is tetragonal. As for the spin magnetization: 0.25 μB per atom.

One value per record, in order, for energy relative to the elements, uncorrected: 136, 1128, -169, 40 meV per atom.
One value per record, in order, for volume: 11.907, 13.701, 10.585, 11.191 Å³/atom.
One value per record, in order, for E: -28.7, -31.8, -38.3, -41.1 eV per cell.